Record 1
Below is a relaxed Y2MnF crystal, with properties calculated at the GGA+U level.

Values from the calculation:
The polymorph energy (0 for the lowest one) is 0 meV per atom. The calculation puts the spin magnetization at 3.9 μB per formula unit.

Unit cell a=6.3062 b=6.3062 c=6.3062 alpha=110.25 beta=110.25 gamma=107.93
Closest atoms and distances in Å follow each position.
Element x y z (fractional)
Y (0.0319, 0.6250, 0.9069)  2 F 2.32
Y (0.3750, 0.2819, 0.4069)  2 F 2.32
Y (0.7181, 0.1250, 0.0931)  2 F 2.32
Y (0.8750, 0.9681, 0.5931)  2 F 2.32
Mn (0.2500, 0.7500, 0.5000)  8 Y 3.20-3.50
Mn (0.5000, 0.5000, 0.0000)  8 Y 3.20-3.50
F (0.0000, 0.0000, 0.0000)  4 Y 2.32
F (0.7500, 0.2500, 0.5000)  4 Y 2.32

***

Record 2
Below is a relaxed Y2MnF8 crystal, with properties calculated at the GGA+U level.

Values from the calculation:
The calculation puts the spin magnetization at 5.0 μB per formula unit.

Unit cell a=7.6175 b=7.6175 c=5.3883 alpha=108.90 beta=108.90 gamma=27.56
Closest atoms and distances in Å follow each position.
Element x y z (fractional)
Y (0.1747, 0.1747, 0.1841)  9 F 2.24-2.40
Y (0.8253, 0.8253, 0.8159)  9 F 2.24-2.40
Mn (0.5000, 0.5000, 0.5000)  6 F 2.23-2.27
F (0.0438, 0.0438, 0.3260)  2 Mn 2.23, 1 Y 2.31
F (0.2204, 0.2204, 0.8277)  3 Y 2.24-2.40, 1 F 2.48
F (0.3207, 0.3207, 0.5383)  3 Y 2.34-2.36, 3 F 2.48-2.60
F (0.4062, 0.4062, 0.0701)  1 Mn 2.27, 2 Y 2.35
F (0.5938, 0.5938, 0.9299)  1 Mn 2.27, 2 Y 2.35
F (0.6793, 0.6793, 0.4617)  3 Y 2.34-2.36, 3 F 2.48-2.60
F (0.7796, 0.7796, 0.1723)  3 Y 2.24-2.40, 1 F 2.48
F (0.9562, 0.9562, 0.6740)  2 Mn 2.23, 1 Y 2.31

***

Record 3
Below is a relaxed YMnF2 crystal, with properties calculated at the GGA+U level.

Values from the calculation:
The polymorph energy (0 for the lowest one) is 3 meV per atom. The calculation puts the spin magnetization at 4.8 μB per formula unit.

Unit cell a=8.2241 b=8.2241 c=8.2241 alpha=22.60 beta=22.60 gamma=22.60
Closest atoms and distances in Å follow each position.
Element x y z (fractional)
Y (0.0000, 0.0000, 0.0000)  6 F 2.41
Mn (0.5000, 0.5000, 0.5000)  2 F 2.47
F (0.3974, 0.3974, 0.3974)  3 Y 2.41, 1 Mn 2.47
F (0.6026, 0.6026, 0.6026)  3 Y 2.41, 1 Mn 2.47

***

no.,energy (eV/f.u.)
1,-25.9
2,-75.8
3,-25.4